# 1
{"formula": "Zn2PW", "functional": "PBE-GGA", "state": "optimized geometry", "lattice_angstrom": [[-0.4118, -1.9796, 2.4982], [2.7079, 1.1115, 1.3272], [-2.9216, 3.9527, 2.6506]], "species": ["Zn", "Zn", "P", "W"], "frac_coords": [[0.0000, 0.0000, 0.0142], [0.5000, 0.5000, 0.2393], [0.0000, 0.0000, 0.5230], [0.5000, 0.5000, 0.7235]], "delta_e_f_ev_per_atom": 0.015, "vol_a3_per_atom": 14.42, "dos_ef_per_ev_cell": 2.146}

=====

# 2
{"formula": "SmIn2I8", "functional": "PBE-GGA", "state": "optimized geometry", "lattice_angstrom": [[7.4851, 0.5237, 0.3973], [0.7368, 9.1629, -0.2961], [0.7368, 2.1821, 8.9042]], "species": ["Sm", "In", "In", "I", "I", "I", "I", "I", "I", "I", "I"], "frac_coords": [[0.0000, 0.0000, 0.0000], [0.6685, 0.7969, 0.7969], [0.3315, 0.2031, 0.2031], [0.2169, 0.2739, 0.9038], [0.7831, 0.0962, 0.7261], [0.2755, 0.8061, 0.8061], [0.7245, 0.1939, 0.1939], [0.2169, 0.9038, 0.2739], [0.7831, 0.7261, 0.0962], [0.8463, 0.6092, 0.6092], [0.1537, 0.3908, 0.3908]], "vol_a3_per_atom": 55.45, "raw_formation_energy_ev_per_atom": -0.750, "dos_ef_per_ev_cell": 4.475}

=====

# 3
{"formula": "LiBe4Te", "functional": "PBE-GGA", "state": "optimized geometry", "lattice_angstrom": [[0.0000, 3.3356, 3.3356], [3.3356, 0.0000, 3.3356], [3.3356, 3.3356, 0.0000]], "species": ["Li", "Be", "Be", "Be", "Be", "Te"], "frac_coords": [[0.2500, 0.2500, 0.2500], [0.6204, 0.6204, 0.1389], [0.6204, 0.1389, 0.6204], [0.6204, 0.6204, 0.6204], [0.1389, 0.6204, 0.6204], [0.0000, 0.0000, 0.0000]], "vol_a3_per_atom": 12.37, "raw_formation_energy_ev_per_atom": 0.373, "dos_ef_per_ev_cell": 1.430}

=====

# 4
{"formula": "Nd6SiTe2Se3", "functional": "PBE-GGA", "state": "optimized geometry", "lattice_angstrom": [[-1.5344, 2.8059, 2.8863], [-6.2871, 2.3019, -5.5801], [-3.2531, -8.5237, 3.3420]], "species": ["Nd", "Nd", "Nd", "Nd", "Nd", "Nd", "Si", "Te", "Te", "Se", "Se", "Se"], "frac_coords": [[0.3429, 0.9332, 0.6858], [0.6563, 0.6012, 0.3126], [0.6571, 0.0668, 0.3142], [0.9965, 0.2324, 0.9930], [0.0035, 0.7676, 0.0070], [0.3437, 0.3988, 0.6874], [0.5000, 0.0000, 0.0000], [0.8304, 0.6594, 0.6608], [0.1696, 0.3406, 0.3392], [0.5000, 0.5000, 0.0000], [0.8297, 0.1614, 0.6594], [0.1703, 0.8386, 0.3406]], "vol_a3_per_atom": 28.95, "raw_formation_energy_ev_per_atom": -1.553, "dos_ef_per_ev_cell": 4.246}

=====

# 5
{"formula": "RbTmGaTe3", "functional": "PBE-GGA", "state": "optimized geometry", "lattice_angstrom": [[4.4848, 0.0000, 0.0000], [0.0000, 9.8378, -0.2591], [0.0000, -2.8600, 10.4806]], "species": ["Rb", "Rb", "Tm", "Tm", "Ga", "Ga", "Te", "Te", "Te", "Te", "Te", "Te"], "frac_coords": [[0.2500, 0.1989, 0.2440], [0.7500, 0.8011, 0.7560], [0.2500, 0.6567, 0.1283], [0.7500, 0.3433, 0.8717], [0.2500, 0.0737, 0.6173], [0.7500, 0.9263, 0.3827], [0.7500, 0.8711, 0.1213], [0.2500, 0.1289, 0.8787], [0.2500, 0.7815, 0.4356], [0.7500, 0.2185, 0.5644], [0.7500, 0.4570, 0.1605], [0.2500, 0.5430, 0.8395]], "vol_a3_per_atom": 38.26, "raw_formation_energy_ev_per_atom": -0.939, "dos_ef_per_ev_cell": 2.827}

=====

# 6
{"formula": "La2GaNi12H3", "functional": "PBE-GGA", "state": "optimized geometry", "lattice_angstrom": [[6.9845, 0.2620, 0.1859], [3.6772, 5.9439, 0.1859], [3.6772, 2.1404, 5.5483]], "species": ["La", "La", "Ga", "Ni", "Ni", "Ni", "Ni", "Ni", "Ni", "Ni", "Ni", "Ni", "Ni", "Ni", "Ni", "H", "H", "H"], "frac_coords": [[0.6023, 0.6023, 0.6023], [0.3977, 0.3977, 0.3977], [0.0000, 0.0000, 0.0000], [0.2795, 0.2795, 0.9053], [0.8660, 0.8660, 0.4504], [0.4504, 0.8660, 0.8660], [0.9053, 0.2795, 0.2795], [0.8660, 0.4504, 0.8660], [0.2795, 0.9053, 0.2795], [0.7205, 0.7205, 0.0947], [0.1340, 0.1340, 0.5496], [0.5496, 0.1340, 0.1340], [0.0947, 0.7205, 0.7205], [0.1340, 0.5496, 0.1340], [0.7205, 0.0947, 0.7205], [0.5000, 0.0000, 0.0000], [0.0000, 0.5000, 0.0000], [0.0000, 0.0000, 0.5000]], "vol_a3_per_atom": 12.21, "total_energy_ev_per_atom": -5.214, "dos_ef_per_ev_cell": 10.058}

=====

# 7
{"formula": "GdMgZnIn", "functional": "PBE-GGA", "state": "optimized geometry", "lattice_angstrom": [[5.0531, 0.0000, 0.0000], [2.5266, 4.3761, 0.0000], [2.5266, 1.4587, 4.1259]], "species": ["Zn", "Gd", "Mg", "In"], "frac_coords": [[0.2500, 0.2500, 0.2500], [0.5000, 0.5000, 0.5000], [0.0000, 0.0000, 0.0000], [0.7500, 0.7500, 0.7500]], "delta_e_f_ev_per_atom": -0.325, "vol_a3_per_atom": 22.81, "dos_ef_per_ev_cell": 0.966}

=====

# 8
{"formula": "Cs3PSe3", "functional": "PBE-GGA", "state": "optimized geometry", "lattice_angstrom": [[7.6769, 0.3081, -1.4766], [-1.7099, 7.4903, -1.4766], [-0.9172, -1.1987, 11.4772]], "species": ["Cs", "Cs", "Cs", "Cs", "Cs", "Cs", "P", "P", "Se", "Se", "Se", "Se", "Se", "Se"], "frac_coords": [[0.4379, 0.4379, 0.6530], [0.1808, 0.8192, 0.5000], [0.8192, 0.1808, 0.5000], [0.1779, 0.8221, 0.0000], [0.8221, 0.1779, 0.0000], [0.5621, 0.5621, 0.3470], [0.4094, 0.4094, 0.0202], [0.5906, 0.5906, 0.9798], [0.2103, 0.2103, 0.8426], [0.3307, 0.1258, 0.3388], [0.1258, 0.3307, 0.3388], [0.6693, 0.8742, 0.6612], [0.8742, 0.6693, 0.6612], [0.7897, 0.7897, 0.1574]], "vol_a3_per_atom": 45.69, "raw_formation_energy_ev_per_atom": -0.770}

=====

# 9
{"formula": "Li2NdIn2Hg2", "functional": "PBE-GGA", "state": "optimized geometry", "lattice_angstrom": [[-4.7131, -0.4526, -0.8074], [-2.2155, -4.1494, 0.9717], [-3.8404, 1.0386, 7.5497]], "species": ["Li", "Li", "Nd", "In", "In", "Hg", "Hg"], "frac_coords": [[0.1410, 0.1410, 0.5770], [0.8590, 0.8590, 0.4230], [0.0000, 0.0000, 0.0000], [0.7361, 0.7361, 0.7917], [0.2639, 0.2639, 0.2083], [0.5637, 0.5637, 0.3090], [0.4363, 0.4363, 0.6910]], "delta_e_f_ev_per_atom": -0.320, "vol_a3_per_atom": 23.03, "dos_ef_per_ev_cell": 4.273}

=====

# 10
{"formula": "SrPb2Au", "functional": "PBE-GGA", "state": "optimized geometry", "lattice_angstrom": [[-1.7174, 4.5851, 4.2914], [-0.2926, -1.4159, 6.3481], [4.1235, -0.7296, -4.9854]], "species": ["Au", "Pb", "Pb", "Sr"], "frac_coords": [[0.7500, 0.2500, 0.5000], [0.0000, 0.0000, 0.0000], [0.5000, 0.5000, 0.0000], [0.2500, 0.7500, 0.5000]], "delta_e_f_ev_per_atom": -0.289, "vol_a3_per_atom": 29.81, "dos_ef_per_ev_cell": 2.379}

=====

# 11
{"formula": "Ta2CdHg", "functional": "PBE-GGA", "state": "optimized geometry", "lattice_angstrom": [[5.3451, -0.0054, 0.0000], [2.1166, 4.9081, 0.0000], [-3.7309, -2.4514, 2.9396]], "species": ["Cd", "Hg", "Ta", "Ta"], "frac_coords": [[0.5000, 0.5000, 0.0000], [0.7500, 0.2500, 0.5000], [0.0000, 0.0000, 0.0000], [0.2500, 0.7500, 0.5000]], "delta_e_f_ev_per_atom": 0.468, "vol_a3_per_atom": 19.29, "dos_ef_per_ev_cell": 2.792}

=====

# 12
{"formula": "DyErPu2Bi4", "functional": "PBE-GGA", "state": "optimized geometry", "lattice_angstrom": [[-0.1622, -4.0557, -1.9615], [1.1343, -3.4098, 6.9564], [-7.6208, 0.8967, -1.2240]], "species": ["Dy", "Er", "Pu", "Pu", "Bi", "Bi", "Bi", "Bi"], "frac_coords": [[0.5000, 0.5000, 0.0000], [0.0000, 0.0000, 0.0000], [0.5000, 0.0000, 0.5000], [0.0000, 0.5000, 0.5000], [0.5000, 0.2475, 0.2450], [0.5000, 0.7525, 0.7550], [0.0000, 0.2501, 0.7542], [0.0000, 0.7499, 0.2458]], "delta_e_f_ev_per_atom": -0.566, "vol_a3_per_atom": 32.34, "dos_ef_per_ev_cell": 34.759}

=====

- Number 7 is which compound?
  GdMgZnIn